# 1
This record from Alexandria via LeMat-Bulk describes a relaxed structure of CrCdAs2. The functional is GGA-PBE.

Cell: 3.537 3.537 6.849 Å, 90.00 90.00 90.00°
Space group P4mm (No. 99)
Symmetry-distinct sites (fractional):
1 Cr 0.000 0.000 0.000
2 Cd 0.500 0.500 0.546
3 As 0.000 0.000 0.355
4 As 0.500 0.500 0.935

## Properties
Density of states at the Fermi level ... 1.110 states/eV/f.u.
Energy relative to the elements ... 0.110 eV/atom

***

# 2
This record from Alexandria via LeMat-Bulk describes a relaxed structure of Sc2FePb. The functional is GGA-PBE.

Cell: 4.189 4.189 9.317 Å, 90.00 90.00 90.00°
Space group I-4m2 (No. 119)
Symmetry-distinct sites (fractional):
1 Sc 0.000 0.000 0.000
2 Sc 0.000 0.500 0.250
3 Fe 0.000 0.500 0.750
4 Pb 0.000 0.000 0.500

## Properties
Density of states at the Fermi level ... 3.461 states/eV/f.u.
Energy relative to the elements ... -0.045 eV/atom

***

# 3
This record from Alexandria via LeMat-Bulk describes a relaxed structure of BiAs2HSe. The functional is GGA-PBE.

Cell: 4.141 4.141 5.757 Å, 90.00 90.00 90.00°
Space group P4/mmm (No. 123)
Symmetry-distinct sites (fractional):
1 Bi 0.000 0.000 0.000
2 As 0.000 0.500 0.500
3 H 0.500 0.500 0.500
4 Se 0.500 0.500 0.000

## Properties
Density of states at the Fermi level ... 3.918 states/eV/f.u.
Offset from the most stable computed form ... 0 meV/atom

***

# 4
This record from Alexandria via LeMat-Bulk describes a relaxed structure of AcCdC2O6. The functional is GGA-PBE.

Cell: 9.441 10.230 6.231 Å, 90.00 106.98 90.00°
Space group C2/c (No. 15)
Symmetry-distinct sites (fractional):
1 Ac 0.000 0.147 0.250
2 Cd 0.000 0.437 0.750
3 C 0.210 0.167 0.726
4 O 0.143 0.054 0.670
5 O 0.144 0.270 0.618
6 O 0.162 0.323 0.131

## Properties
Density of states at the Fermi level ... 1.196 states/eV/f.u.
Uncorrected formation energy ... -1.80 eV per atom

***

# 5
This record from Alexandria via LeMat-Bulk describes a relaxed structure of Cd2Ag3F7. The functional is GGA-PBE.

Cell: 21.206 5.944 6.161 Å, 90.00 90.00 90.00°
Space group Cmc2_1 (No. 36)
Symmetry-distinct sites (fractional):
1 Cd 0.101 0.249 0.000
2 Ag 0.000 0.276 0.562
3 Ag 0.201 0.235 0.431
4 F 0.000 0.120 0.948
5 F 0.073 0.449 0.298
6 F 0.133 0.049 0.707
7 F 0.199 0.383 0.068

## Properties
Uncorrected formation energy ... -1.57 eV per atom

***

# 6
This record from Alexandria via LeMat-Bulk describes a relaxed structure of DyIrRuO6. The functional is GGA-PBE.

Cell: 5.2726 5.2726 8.7884 Å, 90.00 90.00 120.00°
Space group P-31c (No. 163)
Symmetry-distinct sites (fractional):
1 Dy 0.3333 0.6667 0.2500
2 Ir 0.3333 0.6667 0.7500
3 Ru 0.0000 0.0000 0.0000
4 O 0.0314 0.3375 0.6191

## Properties
Density of states at the Fermi level ... 7.132 states/eV/f.u.
Uncorrected formation energy ... -1.44 eV per atom

***

# 7
This record from Alexandria via LeMat-Bulk describes a relaxed structure of Ce4As2N. The functional is GGA-PBE.

Cell: 4.640 4.640 15.606 Å, 90.00 90.00 90.00°
Space group I4/mmm (No. 139)
Symmetry-distinct sites (fractional):
1 Ce 0.000 0.000 0.167
2 Ce 0.000 0.500 0.000
3 As 0.000 0.000 0.362
4 N 0.000 0.000 0.000

## Properties
Density of states at the Fermi level ... 18.567 states/eV/f.u.
Uncorrected formation energy ... -1.11 eV per atom

***

# 8
This record from Alexandria via LeMat-Bulk describes a relaxed structure of Tc2RuF. The functional is GGA-PBE.

Cell: 6.002 6.002 6.002 Å, 90.00 90.00 90.00°
Space group Fm-3m (No. 225)
Symmetry-distinct sites (fractional):
1 Tc 0.250 0.250 0.250
2 Ru 0.000 0.000 0.000
3 F 0.000 0.000 0.500

## Properties
Density of states at the Fermi level ... 6.569 states/eV/f.u.
Offset from the most stable computed form ... 0 meV/atom
Uncorrected formation energy ... 0.27 eV per atom

***

# 9
This record from Alexandria via LeMat-Bulk describes a relaxed structure of SrTaHN2. The functional is GGA-PBE.

Cell: 4.326 4.326 3.174 Å, 90.00 90.00 90.00°
Space group P4/mmm (No. 123)
Symmetry-distinct sites (fractional):
1 Sr 0.000 0.000 0.000
2 Ta 0.500 0.500 0.000
3 H 0.500 0.500 0.500
4 N 0.000 0.500 0.500

## Properties
Density of states at the Fermi level ... 1.785 states/eV/f.u.
Offset from the most stable computed form ... 1597 meV/atom

***

# 10
This record from Alexandria via LeMat-Bulk describes a relaxed structure of Ho4GaTe4. The functional is GGA-PBE.

Cell: 6.768 6.768 14.581 Å, 90.00 90.00 90.00°
Space group I-42m (No. 121)
Symmetry-distinct sites (fractional):
1 Ho 0.211 0.211 0.130
2 Ga 0.000 0.000 0.000
3 Te 0.000 0.000 0.284
4 Te 0.000 0.500 0.000

## Properties
Density of states at the Fermi level ... 3.571 states/eV/f.u.
Uncorrected formation energy ... -0.79 eV per atom

***

# 11
This record from Alexandria via LeMat-Bulk describes a relaxed structure of RbSeBr2Cl. The functional is GGA-PBE.

Cell: 6.168 6.168 4.842 Å, 90.00 90.00 90.00°
Space group P4/mmm (No. 123)
Symmetry-distinct sites (fractional):
1 Rb 0.000 0.000 0.000
2 Se 0.500 0.500 0.000
3 Br 0.000 0.500 0.500
4 Cl 0.500 0.500 0.500

## Properties
Density of states at the Fermi level ... 4.458 states/eV/f.u.
Offset from the most stable computed form ... 501 meV/atom
Uncorrected formation energy ... -0.24 eV per atom

***

# 12
This record from Alexandria via LeMat-Bulk describes a relaxed structure of PmTlSeS. The functional is GGA-PBE.

Cell: 4.2014 4.2014 23.3377 Å, 90.00 90.00 120.00°
Space group R3m (No. 160, hexagonal axes)
Symmetry-distinct sites (fractional):
1 Pm 0.0000 0.0000 0.0000
2 Tl 0.0000 0.0000 0.1714
3 Se 0.0000 0.0000 0.4076
4 S 0.0000 0.0000 0.6051

## Properties
Uncorrected formation energy ... -1.40 eV per atom

***

Here are the calculated calculated volume numbers, same order: 85.7; 163.5; 98.7; 575.6; 776.6; 211.6; 335.9; 216.2; 59.4; 668.0; 184.2; 356.7 (Å³/cell).